# 1
DFT (PBE) results for a geometry-optimized BeCuPt6 structure.

Lattice parameters (Å, degrees): 3.8767 3.8767 7.7358 90.00 90.00 90.00
Last column: nearest neighbours and their distance in Å.
Fractional positions:
Be: 0.0000 0.0000 0.0000  12 Pt 2.70-2.74
Cu: 0.0000 0.0000 0.5000  12 Pt 2.74-2.77
Pt: 0.0000 0.5000 0.2435  8 Pt 2.70-2.77, 2 Be 2.70, 2 Cu 2.77
Pt: 0.0000 0.5000 0.7565  2 Be 2.70, 8 Pt 2.70-2.77, 2 Cu 2.77
Pt: 0.5000 0.0000 0.2435  8 Pt 2.70-2.77, 2 Be 2.70, 2 Cu 2.77
Pt: 0.5000 0.0000 0.7565  2 Be 2.70, 8 Pt 2.70-2.77, 2 Cu 2.77
Pt: 0.5000 0.5000 0.0000  8 Pt 2.70, 4 Be 2.74
Pt: 0.5000 0.5000 0.5000  4 Cu 2.74, 8 Pt 2.77

Values from the calculation:
Size of the total moment, μB per cell: 0.0
Uncorrected energy, eV/cell: -45.6
Formation energy, kJ per mole of atoms: -19

# 2
DFT (PBE) results for a geometry-optimized BeCu2Pt structure.

Lattice parameters (Å, degrees): 2.7052 3.9739 4.6481 90.00 103.96 90.00
Last column: nearest neighbours and their distance in Å.
Fractional positions:
Be: 0.0000 0.0000 0.0000  4 Cu 2.34, 2 Pt 2.39
Cu: 0.1581 0.5000 0.7718  2 Be 2.34, 3 Cu 2.46-2.47
Cu: 0.8419 0.5000 0.2282  2 Be 2.34, 3 Cu 2.46-2.47
Pt: 0.5000 0.0000 0.5000  2 Be 2.39, 4 Cu 2.64

Values from the calculation:
Size of the total moment, μB per cell: 0.0
Uncorrected energy, eV/cell: -18.7
Formation energy, kJ per mole of atoms: -17

# 3
DFT (PBE) results for a geometry-optimized BeCu2Pt structure.

Lattice parameters (Å, degrees): 4.8973 4.8973 4.8973 147.24 131.72 59.57
Last column: nearest neighbours and their distance in Å.
Fractional positions:
Be: 0.0000 0.0000 0.0000  4 Cu 2.35, 4 Pt 2.43
Cu: 0.2230 0.7230 0.5000  2 Be 2.35, 4 Cu 2.48
Cu: 0.7770 0.2770 0.5000  2 Be 2.35, 4 Cu 2.48
Pt: 0.5000 0.5000 0.0000  4 Be 2.43

Values from the calculation:
Size of the total moment, μB per cell: 0.0
Uncorrected energy, eV/cell: -19.2
Formation energy, kJ per mole of atoms: -29

# 4
DFT (PBE) results for a geometry-optimized Be2CuPt structure.

Lattice parameters (Å, degrees): 4.4873 4.4873 3.9561 107.62 107.62 35.42
Last column: nearest neighbours and their distance in Å.
Fractional positions:
Be: 0.0000 0.0000 0.0000  4 Pt 2.41, 3 Cu 2.42, 2 Be 2.45
Be: 0.7357 0.7357 0.3367  3 Pt 2.39-2.45, 4 Cu 2.41, 2 Be 2.45
Cu: 0.2530 0.2530 0.8485  7 Be 2.41-2.42, 1 Pt 2.64
Pt: 0.4783 0.4783 0.4840  7 Be 2.39-2.45, 1 Cu 2.64

Values from the calculation:
Size of the total moment, μB per cell: 0.0
Uncorrected energy, eV/cell: -19.2
Formation energy, kJ per mole of atoms: -39

# 5
DFT (PBE) results for a geometry-optimized Be4CuPt structure.

Lattice parameters (Å, degrees): 4.3261 4.3261 4.3261 60.00 60.00 60.00
Last column: nearest neighbours and their distance in Å.
Fractional positions:
Be: 0.1254 0.1254 0.1254  6 Be 2.16-2.17
Be: 0.1254 0.1254 0.6239  6 Be 2.16-2.17
Be: 0.1254 0.6239 0.1254  6 Be 2.16-2.17
Be: 0.6239 0.1254 0.1254  6 Be 2.16-2.17
Cu: 0.5000 0.5000 0.5000  12 Be 2.54, 4 Pt 2.65
Pt: 0.7500 0.7500 0.7500  12 Be 2.54, 4 Cu 2.65

Values from the calculation:
Size of the total moment, μB per cell: 0.0
Uncorrected energy, eV/cell: -27.5
Formation energy, kJ per mole of atoms: -39

# 6
DFT (PBE) results for a geometry-optimized BeCu2Pt structure.

Lattice parameters (Å, degrees): 3.5005 3.5005 3.9131 90.00 90.00 90.00
Last column: nearest neighbours and their distance in Å.
Fractional positions:
Be: 0.0000 0.0000 0.0000  4 Pt 2.48, 8 Cu 2.63
Cu: 0.0000 0.5000 0.5000  4 Cu 2.48, 4 Be 2.63, 4 Pt 2.63
Cu: 0.5000 0.0000 0.5000  4 Cu 2.48, 4 Be 2.63, 4 Pt 2.63
Pt: 0.5000 0.5000 0.0000  4 Be 2.48, 8 Cu 2.63

Values from the calculation:
Size of the total moment, μB per cell: 0.0
Uncorrected energy, eV/cell: -19.1
Formation energy, kJ per mole of atoms: -28